(1)
DFT (PBE-GGA) results for LuTh2Re after structural relaxation.

Lattice parameters (Å, degrees): 3.5347 3.5347 8.6420 90.00 90.00 90.00
Positions (direct):
Th  0.0000  0.0000  0.7928
Th  0.0000  0.0000  0.2072
Lu  0.5000  0.5000  0.5000
Re  0.5000  0.5000  0.0000

The energy above the lowest structure with this stoichiometry comes out at 0.00 eV/f.u. The value obtained for the formation energy is 0.13 eV per atom. For the total magnetic moment, the calculation gives 0.00 μB/atom. For the total energy, the calculation gives -31.29 eV for the cell shown.

***

(2)
DFT (PBE-GGA) results for Sc2BeZnC after structural relaxation.

Lattice parameters (Å, degrees): 4.6181 3.4745 4.6181 90.00 90.00 90.00
Positions (direct):
Be  0.0000  0.5000  0.0000
Zn  0.5000  0.5000  0.5000
Sc  0.0000  0.0000  0.5000
Sc  0.5000  0.0000  0.0000
C  0.0000  0.0000  0.0000

The energy above the lowest structure with this stoichiometry comes out at 0.00 eV/f.u. The value obtained for the formation energy is -0.32 eV per atom. For the total magnetic moment, the calculation gives 0.00 μB/atom. For the total energy, the calculation gives -28.51 eV for the cell shown.

***

(3)
DFT (PBE-GGA) results for Sm2ThRh after structural relaxation.

Lattice parameters (Å, degrees): 6.4996 7.1509 9.9616 90.00 90.00 90.00
Positions (direct):
Rh  0.4556  0.8698  0.2500
Rh  0.0444  0.3698  0.2500
Rh  0.9556  0.6302  0.7500
Rh  0.5444  0.1302  0.7500
Th  0.3398  0.4607  0.7500
Th  0.8398  0.0393  0.2500
Th  0.1602  0.9607  0.7500
Th  0.6602  0.5393  0.2500
Sm  0.6661  0.8216  0.9350
Sm  0.3339  0.1784  0.4350
Sm  0.1661  0.6784  0.4350
Sm  0.8339  0.3216  0.5650
Sm  0.6661  0.8216  0.5650
Sm  0.3339  0.1784  0.0650
Sm  0.1661  0.6784  0.0650
Sm  0.8339  0.3216  0.9350

The energy above the lowest structure with this stoichiometry comes out at 0.00 eV/f.u. The value obtained for the formation energy is -0.46 eV per atom. For the total magnetic moment, the calculation gives 0.00 μB/atom. For the total energy, the calculation gives -104.22 eV for the cell shown.

***

(4)
DFT (PBE-GGA) results for Tb5CeIn3 after structural relaxation.

Lattice parameters (Å, degrees): 6.7217 9.4049 9.4049 120.00 90.00 90.00
Each line ends with the local moment (μB).
Positions (direct):
In  0.2500  0.3414  0.0000  -0.01
In  0.7500  0.6586  0.0000  -0.01
In  0.2500  0.0000  0.3414  -0.01
In  0.2500  0.6586  0.6586  -0.01
In  0.7500  0.3414  0.3414  -0.01
In  0.7500  0.0000  0.6586  -0.01
Tb  0.7500  0.6742  0.6742  0.17
Tb  0.2500  0.0000  0.6742  0.17
Tb  0.5000  0.6667  0.3333  0.11
Tb  0.7500  0.3258  0.0000  0.17
Tb  0.2500  0.6742  0.0000  0.17
Tb  0.2500  0.3258  0.3258  0.17
Tb  0.5000  0.3333  0.6667  0.11
Tb  0.0000  0.3333  0.6667  0.11
Tb  0.0000  0.6667  0.3333  0.11
Tb  0.7500  0.0000  0.3258  0.17
Ce  0.0000  0.0000  0.0000  1.12
Ce  0.5000  0.0000  0.0000  1.12

The value obtained for the formation energy is -0.34 eV per atom. For the total magnetic moment, the calculation gives 0.28 μB/atom. For the total energy, the calculation gives -80.72 eV for the cell shown.

***

(5)
DFT (PBE-GGA) results for TmSc5In4 after structural relaxation.

Lattice parameters (Å, degrees): 7.1724 9.3389 8.1530 90.00 90.00 90.00
Positions (direct):
Sc  0.7741  0.7381  0.2847
Sc  0.7741  0.2619  0.7153
Sc  0.2259  0.2381  0.2153
Sc  0.2259  0.2381  0.7847
Sc  0.2259  0.7619  0.2153
Sc  0.9109  0.5000  0.0000
Sc  0.0891  0.0000  0.5000
Sc  0.7741  0.7381  0.7153
Sc  0.2259  0.7619  0.7847
Sc  0.7741  0.2619  0.2847
In  0.9558  0.0000  0.8287
In  0.0442  0.5000  0.3287
In  0.5276  0.3447  0.0000
In  0.4724  0.1553  0.5000
In  0.0442  0.5000  0.6713
In  0.5276  0.6553  0.0000
In  0.4724  0.8447  0.5000
In  0.9558  0.0000  0.1713
Tm  0.4615  0.5000  0.5000
Tm  0.5385  0.0000  0.0000

The energy above the lowest structure with this stoichiometry comes out at 3.23 eV/f.u. The value obtained for the formation energy is -0.02 eV per atom. For the total magnetic moment, the calculation gives 0.00 μB/atom. For the total energy, the calculation gives -94.54 eV for the cell shown.

***

(6)
DFT (PBE-GGA) results for Nd2Al2GaNi5 after structural relaxation.

Lattice parameters (Å, degrees): 2.9575 10.3694 10.3694 90.00 90.00 90.00
Positions (direct):
Ni  0.5000  0.0557  0.8104
Ni  0.5000  0.6896  0.4443
Ni  0.5000  0.5000  0.0000
Ni  0.5000  0.9443  0.1896
Ni  0.5000  0.5557  0.6896
Ni  0.5000  0.4443  0.3104
Ni  0.5000  0.3104  0.5557
Ni  0.5000  0.1896  0.0557
Ni  0.5000  0.0000  0.5000
Ni  0.5000  0.8104  0.9443
Al  0.0000  0.1284  0.6284
Al  0.0000  0.3716  0.1284
Al  0.0000  0.8716  0.3716
Al  0.0000  0.6284  0.8716
Nd  0.0000  0.8265  0.6735
Nd  0.0000  0.6735  0.1735
Nd  0.0000  0.1735  0.3265
Nd  0.0000  0.3265  0.8265
Ga  0.0000  0.5000  0.5000
Ga  0.0000  0.0000  0.0000

The value obtained for the formation energy is -0.30 eV per atom. For the total magnetic moment, the calculation gives 0.00 μB/atom. For the total energy, the calculation gives -104.00 eV for the cell shown.